Entry 1:
Compound: NiBRuRh
Source: Alexandria
Functional: PBE
Structure: relaxed

extended XYZ file:
```
4
Lattice="-1.547 0.377 2.252 0.827 -1.016 2.427 3.459 6.065 1.359" Properties=species:S:1:pos:R:3 pbc="T T T"
Ni 1.381 3.366 5.111
B -0.323 0.377 4.440
Ru 0.622 1.827 3.158
Rh 2.670 5.418 3.963
```

Summary:
The space-group type is P3m1. The energy of formation from the pure elements comes out at -43 meV per atom.


Entry 2:
Compound: NiBSbRh2
Source: Alexandria
Functional: PBE
Structure: relaxed

extended XYZ file:
```
5
Lattice="-3.336 -2.254 -1.150 0.178 -2.107 3.614 -2.385 2.675 1.677" Properties=species:S:1:pos:R:3 pbc="T T T"
Sb -2.772 -0.843 2.071
B 0.000 0.000 0.000
Rh 0.089 -1.054 1.807
Rh -1.668 -1.127 -0.575
Ni -1.193 1.337 0.838
```

Summary:
The space-group type is P4/mmm. The calculation puts the formation energy from raw total energies at -0.15 eV/atom. The value obtained for the relative energy among the computed polymorphs is 0 meV/atom.